No. 1
LiTaAlIr | PBE | optimized geometry

Cell and atoms, written as POSCAR:
```
LiTaAlIr
1.0
-0.896 0.964 -4.146
2.242 -3.494 -1.297
-5.116 -3.401 0.316
Al Ir Li Ta
2 2 2 2
Direct
0.500 0.500 0.000
0.000 0.000 0.500
0.000 0.500 0.250
0.500 0.000 0.750
0.500 0.000 0.250
0.000 0.500 0.750
0.000 0.000 0.000
0.500 0.500 0.500
```

Values from the calculation:
Space-group type   F-43m (216)
Total DFT energy (no corrections)   -58.14 eV/cell
Polymorph energy (0 for the lowest one)   0 meV/atom

***

No. 2
NaLiMoPd | PBE | optimized geometry

Cell and atoms, written as POSCAR:
```
NaLiMoPd
1.0
0.000 3.173 3.173
3.173 0.000 3.173
3.173 3.173 0.000
Li Mo Na Pd
1 1 1 1
Direct
0.000 0.000 0.000
0.250 0.250 0.250
0.750 0.750 0.750
0.500 0.500 0.500
```

Values from the calculation:
Space-group type   F-43m (216)
Total DFT energy (no corrections)   -17.00 eV/cell
Polymorph energy (0 for the lowest one)   25 meV/atom

***

No. 3
GdPH5CO7 | PBE | optimized geometry

Cell and atoms, written as POSCAR:
```
GdPH5CO7
1.0
-5.915 -2.333 0.782
2.151 -3.039 5.702
-2.039 6.922 1.468
C Gd H O P
2 2 10 14 2
Direct
0.939 0.094 0.496
0.061 0.906 0.504
0.873 0.773 0.059
0.127 0.227 0.941
0.586 0.267 0.192
0.170 0.527 0.332
0.291 0.331 0.368
0.540 0.761 0.372
0.544 0.141 0.422
0.456 0.859 0.578
0.460 0.239 0.628
0.709 0.669 0.632
0.830 0.473 0.668
0.414 0.733 0.808
0.821 0.429 0.041
0.207 0.952 0.052
0.527 0.765 0.128
0.217 0.383 0.271
0.838 0.080 0.340
0.050 0.749 0.349
0.422 0.207 0.488
0.578 0.793 0.512
0.950 0.251 0.651
0.162 0.920 0.660
0.783 0.617 0.729
0.473 0.235 0.872
0.793 0.048 0.948
0.179 0.571 0.959
0.662 0.245 0.012
0.338 0.755 0.988
```

Values from the calculation:
Space-group type   P-1 (2)
Total DFT energy (no corrections)   -192.12 eV/cell

***

No. 4
Nd3HoEr2CoTe2 | PBE | optimized geometry

Cell and atoms, written as POSCAR:
```
Nd3HoEr2CoTe2
1.0
4.022 0.000 0.000
0.000 7.310 4.220
0.000 -7.310 4.220
Co Er Ho Nd Te
1 2 1 3 2
Direct
0.500 0.001 0.001
0.000 0.230 0.000
0.000 0.000 0.230
0.000 0.770 0.770
0.500 0.597 0.000
0.500 0.403 0.403
0.500 0.000 0.597
0.000 0.667 0.333
0.000 0.333 0.667
```

Values from the calculation:
Space-group type   Amm2 (38)
Total DFT energy (no corrections)   -47.79 eV/cell

***

No. 5
PrAsPO | PBE | optimized geometry

Cell and atoms, written as POSCAR:
```
PrAsPO
1.0
-2.465 -2.590 -2.435
-3.157 -1.748 5.056
-4.080 4.739 -0.910
As O P Pr
2 2 2 2
Direct
0.000 0.857 0.055
0.000 0.143 0.555
0.000 0.709 0.312
0.000 0.291 0.812
0.500 0.265 0.428
0.500 0.735 0.928
0.500 0.746 0.459
0.500 0.254 0.959
```

Values from the calculation:
Space-group type   Pmc2_1 (26)
Total DFT energy (no corrections)   -49.32 eV/cell
Polymorph energy (0 for the lowest one)   196 meV/atom

***

No. 6
Y2Ag2TeS3 | PBE | optimized geometry

Cell and atoms, written as POSCAR:
```
Y2Ag2TeS3
1.0
4.942 -4.586 0.000
4.942 4.586 0.000
-0.154 0.000 4.214
Ag S Te Y
2 3 1 2
Direct
0.502 0.001 0.967
0.001 0.502 0.967
0.297 0.297 0.261
0.800 0.199 0.736
0.199 0.800 0.736
0.707 0.707 0.320
0.015 0.015 0.225
0.480 0.480 0.789
```

Values from the calculation:
Space-group type   Cm (8)
Total DFT energy (no corrections)   -43.79 eV/cell

***

No. 7
LiScFeSn | PBE | optimized geometry

Cell and atoms, written as POSCAR:
```
LiScFeSn
1.0
3.640 -1.990 1.773
2.823 2.368 2.602
0.195 -0.808 4.434
Fe Li Sc Sn
1 1 1 1
Direct
0.250 0.250 0.250
0.750 0.750 0.750
0.500 0.500 0.500
0.000 0.000 0.000
```

Values from the calculation:
Space-group type   F-43m (216)
Total DFT energy (no corrections)   -21.63 eV/cell
Polymorph energy (0 for the lowest one)   0 meV/atom

***

No. 8
USe | PBE | optimized geometry

Cell and atoms, written as POSCAR:
```
USe
1.0
0.000 2.866 2.866
2.866 0.000 2.866
2.866 2.866 0.000
Se U
1 1
Direct
0.000 0.000 0.000
0.500 0.500 0.500
```

Values from the calculation:
Space-group type   Fm-3m (225)
Total DFT energy (no corrections)   -16.75 eV/cell

***

No. 9
HoTlGeTe3 | PBE | optimized geometry

Cell and atoms, written as POSCAR:
```
HoTlGeTe3
1.0
8.924 0.000 0.000
0.000 4.267 0.000
-3.440 0.000 11.004
Ge Ho Te Tl
2 2 6 2
Direct
0.877 0.250 0.447
0.123 0.750 0.553
0.637 0.750 0.161
0.363 0.250 0.839
0.378 0.250 0.109
0.898 0.250 0.216
0.661 0.750 0.434
0.339 0.250 0.566
0.102 0.750 0.784
0.622 0.750 0.891
0.236 0.750 0.282
0.764 0.250 0.718
```

Values from the calculation:
Space-group type   P2_1/m (11)
Total DFT energy (no corrections)   -50.42 eV/cell
Polymorph energy (0 for the lowest one)   0 meV/atom

***

No. 10
KTaF6 | PBE | optimized geometry

Cell and atoms, written as POSCAR:
```
KTaF6
1.0
4.981 0.000 0.000
0.000 4.981 0.000
0.000 0.000 9.335
F K Ta
12 2 2
Direct
0.303 0.317 0.105
0.697 0.683 0.105
0.774 0.226 0.250
0.226 0.774 0.250
0.317 0.303 0.395
0.683 0.697 0.395
0.697 0.317 0.605
0.303 0.683 0.605
0.226 0.226 0.750
0.774 0.774 0.750
0.683 0.303 0.895
0.317 0.697 0.895
0.000 0.000 0.000
0.000 0.000 0.500
0.500 0.500 0.250
0.500 0.500 0.750
```

Values from the calculation:
Space-group type   P-4c2 (116)
Total DFT energy (no corrections)   -99.72 eV/cell

***

No. 11
PrYAsI2 | PBE | optimized geometry

Cell and atoms, written as POSCAR:
```
PrYAsI2
1.0
4.260 0.000 0.000
-2.130 3.689 0.000
0.000 0.000 11.129
As I Pr Y
1 2 1 1
Direct
0.000 0.000 0.990
0.333 0.667 0.333
0.667 0.333 0.678
0.667 0.333 0.142
0.333 0.667 0.857
```

Values from the calculation:
Space-group type   P3m1 (156)
Total DFT energy (no corrections)   -26.46 eV/cell

***

No. 12
CoHgAsPt | PBE | optimized geometry

Cell and atoms, written as POSCAR:
```
CoHgAsPt
1.0
3.573 -2.777 0.267
1.972 -0.778 4.008
-0.423 -4.054 1.986
As Co Hg Pt
1 1 1 1
Direct
0.000 0.000 0.000
0.750 0.750 0.750
0.500 0.500 0.500
0.250 0.250 0.250
```

Values from the calculation:
Space-group type   F-43m (216)
Total DFT energy (no corrections)   -16.92 eV/cell
Polymorph energy (0 for the lowest one)   0 meV/atom